[1]
# PBE Ac2SnAs, relaxed
# ΔH_f (0 K)	-0.734	eV/atom
# distance to the lowest polymorph of the same formula	348	meV per atom
# magnetization	0.000	μB per formula unit
data_Ac2SnAs
_chemical_formula_sum 'Ac8 Sn4 As4'
_space_group_name_H-M_alt 'F m -3 m'
_space_group_IT_number 225
_space_group_name_Hall '-F 4 2 3'
_cell_length_a 8.014
_cell_length_b 8.014
_cell_length_c 8.014
_cell_angle_alpha 90.00
_cell_angle_beta 90.00
_cell_angle_gamma 90.00
loop_
_atom_site_label
_atom_site_fract_x
_atom_site_fract_y
_atom_site_fract_z
_atom_site_occupancy
Ac1 0.250 0.250 0.250 1
Sn1 0.000 0.000 0.000 1
As1 0.000 0.000 0.500 1

***

[2]
# PBE SrTcN3, relaxed
# magnetization	0.000	μB per formula unit
# formation energy without anion corrections	-0.322	eV per atom
data_SrTcN3
_chemical_formula_sum 'Sr4 Tc4 N12'
_space_group_name_H-M_alt 'C 1 m 1'
_space_group_IT_number 8
_space_group_name_Hall 'C -2y'
_cell_length_a 13.366
_cell_length_b 4.250
_cell_length_c 5.360
_cell_angle_alpha 90.00
_cell_angle_beta 92.08
_cell_angle_gamma 90.00
loop_
_atom_site_label
_atom_site_fract_x
_atom_site_fract_y
_atom_site_fract_z
_atom_site_occupancy
Sr1 0.000 0.000 0.000 1
Sr2 0.170 0.500 0.521 1
Tc1 0.270 0.000 0.102 1
Tc2 0.410 0.000 0.544 1
N1 0.003 0.153 0.505 1
N2 0.178 0.346 0.016 1
N3 0.271 0.000 0.456 1
N4 0.388 0.000 0.902 1